CeHo5TlIn2 | PBE-GGA | optimized geometry

Cell: 8.420 8.420 9.303 Å, 116.90 116.90 90.00°
Fractional positions:
Ho  0.339  0.839  0.271
Ho  0.839  0.932  0.271
Ho  0.068  0.568  0.729
Ho  0.432  0.339  0.271
Ho  0.661  0.161  0.729
Ho  0.500  0.500  0.000
Ho  0.568  0.661  0.729
Ho  0.161  0.068  0.729
Ho  0.000  0.000  0.000
Ho  0.932  0.432  0.271
Ce  0.750  0.250  0.500
Ce  0.250  0.750  0.500
Tl  0.750  0.750  0.500
Tl  0.250  0.250  0.500
In  0.887  0.613  0.000
In  0.387  0.887  0.000
In  0.113  0.387  0.000
In  0.613  0.113  0.000

spin magnetization = 1.75 μB per formula unit
space group = No. 140
DOS(E_F) = 1.358 states/eV/atom
formation energy = -0.0427 eV/atom
energy = -4.117 eV per atom

=====

CeHoTlIn | PBE-GGA | optimized geometry

Cell: 5.410 5.410 5.410 Å, 60.00 60.00 60.00°
Fractional positions:
In  0.500  0.500  0.500
Ho  0.250  0.250  0.250
Tl  0.000  0.000  0.000
Ce  0.750  0.750  0.750

spin magnetization = 1.04 μB per formula unit
space group = No. 216
DOS(E_F) = 2.002 states/eV/atom
formation energy = -0.3314 eV/atom
energy = -4.235 eV per atom

=====

CeHoTlIn | PBE-GGA | optimized geometry

Cell: 5.012 5.012 5.651 Å, 116.33 116.33 90.00°
Fractional positions:
Ce  0.250  0.750  0.500
Ho  0.750  0.250  0.500
In  0.000  0.000  0.000
Tl  0.500  0.500  0.000

spin magnetization = 1.31 μB per formula unit
space group = No. 119
DOS(E_F) = 2.032 states/eV/atom
formation energy = -0.3328 eV/atom
energy = -4.237 eV per atom

=====

CeHoTmIn | PBE-GGA | optimized geometry

Cell: 5.360 5.360 5.360 Å, 60.00 60.00 60.00°
Fractional positions:
Ho  0.000  0.000  0.000
Tm  0.500  0.500  0.500
Ce  0.750  0.750  0.750
In  0.250  0.250  0.250

spin magnetization = 0.14 μB per formula unit
space group = No. 216
DOS(E_F) = 1.523 states/eV/atom
formation energy = -0.0607 eV/atom
energy = -4.491 eV per atom

=====

CeHoTm2In4 | PBE-GGA | optimized geometry

Cell: 5.311 5.311 9.259 Å, 73.33 73.33 60.00°
Fractional positions:
Ce  0.500  0.500  0.500
Tm  0.250  0.250  0.249
Tm  0.750  0.750  0.751
In  0.123  0.123  0.630
In  0.374  0.374  0.879
In  0.626  0.626  0.121
In  0.877  0.877  0.370
Ho  0.000  0.000  0.000

spin magnetization = 0.94 μB per formula unit
space group = No. 166
DOS(E_F) = 1.108 states/eV/atom
formation energy = -0.4095 eV/atom
energy = -4.211 eV per atom

=====

Ce2HoTmIn4 | PBE-GGA | optimized geometry

Cell: 5.369 5.369 9.314 Å, 73.25 73.25 60.00°
Fractional positions:
In  0.875  0.875  0.376
In  0.625  0.625  0.126
In  0.125  0.125  0.624
In  0.375  0.375  0.874
Tm  0.500  0.500  0.500
Ho  0.000  0.000  0.000
Ce  0.250  0.250  0.251
Ce  0.750  0.750  0.749

spin magnetization = 1.94 μB per formula unit
space group = No. 166
DOS(E_F) = 1.795 states/eV/atom
formation energy = -0.3911 eV/atom
energy = -4.375 eV per atom